Fe3PbO: relaxed, PBE with a Hubbard U.

DOS at the Fermi energy (states/eV/f.u.): 7.208
Symmetry: No. 221
Spin magnetization (μB/cell): 11.89
Energy above the most stable polymorph in this dataset (eV per formula unit): 8.632

Lattice parameters (Å, degrees): 5.1697 5.1697 5.1697 90.00 90.00 90.00
Element x y z (fractional)
Fe1 0.0000 0.0000 0.5000
Fe2 0.0000 0.5000 0.0000
Fe3 0.5000 0.0000 0.0000
Pb1 0.0000 0.0000 0.0000
O1 0.5000 0.5000 0.5000